Below is a relaxed structure of Tb5Y2In, with properties calculated at the PBE level. Values from VASP.

```
&SYSTEM
  ibrav = 0, nat = 8, ntyp = 3
/
ATOMIC_SPECIES
Y 88.91 Y.upf
Tb 158.93 Tb.upf
In 114.82 In.upf
CELL_PARAMETERS angstrom
4.831 0.000 -0.937
-0.182 4.828 -0.937
-0.439 -0.456 10.660
ATOMIC_POSITIONS angstrom
Y 0.956 0.993 4.930
Y 3.254 3.379 3.857
Tb 1.337 3.896 6.894
Tb 2.873 0.475 1.892
Tb 3.843 1.482 6.894
Tb 0.367 2.889 1.892
Tb 2.325 2.414 -0.937
In 0.000 0.000 0.000
```

Output
magnetic moment = 0.000 μB per atom
electronic total energy = -0.1824 Ha/atom
formation energy from the elements = -86 kJ/mol of formula units